1.
A relaxed Fe6Ni23N crystal. Source: the Alexandria database, functional PBE-GGA.

Cell lengths 7.8316, 7.8316, 7.8316 Å; angles 60.00, 60.00, 60.00 degrees
Fractional positions:
Fe (0.1917, 0.1917, 0.8083)
Fe (0.1917, 0.8083, 0.1917)
Fe (0.1917, 0.8083, 0.8083)
Fe (0.8083, 0.1917, 0.1917)
Fe (0.8083, 0.1917, 0.8083)
Fe (0.8083, 0.8083, 0.1917)
Ni (0.0000, 0.0000, 0.5000)
Ni (0.0000, 0.5000, 0.0000)
Ni (0.0000, 0.5000, 0.5000)
Ni (0.1426, 0.6191, 0.6191)
Ni (0.1660, 0.1660, 0.1660)
Ni (0.1660, 0.1660, 0.5019)
Ni (0.1660, 0.5019, 0.1660)
Ni (0.3809, 0.3809, 0.3809)
Ni (0.3809, 0.3809, 0.8574)
Ni (0.3809, 0.8574, 0.3809)
Ni (0.4981, 0.8340, 0.8340)
Ni (0.5000, 0.0000, 0.0000)
Ni (0.5000, 0.0000, 0.5000)
Ni (0.5000, 0.5000, 0.0000)
Ni (0.5000, 0.5000, 0.5000)
Ni (0.5019, 0.1660, 0.1660)
Ni (0.6191, 0.1426, 0.6191)
Ni (0.6191, 0.6191, 0.1426)
Ni (0.6191, 0.6191, 0.6191)
Ni (0.8340, 0.4981, 0.8340)
Ni (0.8340, 0.8340, 0.4981)
Ni (0.8340, 0.8340, 0.8340)
Ni (0.8574, 0.3809, 0.3809)
N (0.0000, 0.0000, 0.0000)

Calculated values
spin magnetization	1.073	μB/atom
E	-6.253	eV per atom
formation energy (no corrections)	0.15	eV/atom
space-group type	Fm-3m (225)
crystal system	cubic

***

2.
A relaxed SbH2Pt2 crystal. Source: the Alexandria database, functional PBE-GGA.

Cell lengths 3.6914, 3.6914, 9.0553 Å; angles 90.00, 90.00, 90.00 degrees
Fractional positions:
Sb (0.0000, 0.0000, 0.0000)
Sb (0.5000, 0.5000, 0.5000)
H (0.0000, 0.5000, 0.2500)
H (0.0000, 0.5000, 0.7500)
H (0.5000, 0.0000, 0.2500)
H (0.5000, 0.0000, 0.7500)
Pt (0.0000, 0.0000, 0.3358)
Pt (0.0000, 0.0000, 0.6642)
Pt (0.5000, 0.5000, 0.1642)
Pt (0.5000, 0.5000, 0.8358)

Calculated values
spin magnetization	0.000	μB/atom
E	-4.497	eV per atom
space-group type	I4/mmm (139)
offset from the most stable computed form	0.15	eV per formula unit
crystal system	tetragonal